PrY3In3 | Alexandria via LeMat-Bulk | GGA-PBE | optimized geometry; DOS at the Fermi energy = 33.18 states/eV/cell; space-group type = P2_13, No. 198; density = 6.0 g/cm3; energy relative to the elements = -0.35 eV per atom
1.0
-3.0275 8.9169 0.1879
-8.7918 -2.9503 -1.6464
-1.4998 -0.7046 9.2718
In Pr Y
12 4 12
direct
0.0002 0.7319 0.6121 In
0.2319 0.8879 0.9998 In
0.2681 0.1121 0.4998 In
0.5002 0.7681 0.3879 In
0.3879 0.5002 0.7681 In
0.1121 0.4998 0.2681 In
0.7319 0.6121 0.0002 In
0.7681 0.3879 0.5002 In
0.4998 0.2681 0.1121 In
0.8879 0.9998 0.2319 In
0.9998 0.2319 0.8879 In
0.6121 0.0002 0.7319 In
0.4348 0.4348 0.4348 Pr
0.0652 0.5652 0.9348 Pr
0.9348 0.0652 0.5652 Pr
0.5652 0.9348 0.0652 Pr
0.0904 0.4096 0.5904 Y
0.6832 0.3168 0.8168 Y
0.8168 0.6832 0.3168 Y
0.1832 0.1832 0.1832 Y
0.4096 0.5904 0.0904 Y
0.8237 0.3237 0.1763 Y
0.6763 0.6763 0.6763 Y
0.5904 0.0904 0.4096 Y
0.3237 0.1763 0.8237 Y
0.1763 0.8237 0.3237 Y
0.9096 0.9096 0.9096 Y
0.3168 0.8168 0.6832 Y

***

PrY5In6 | Alexandria via LeMat-Bulk | GGA-PBE | optimized geometry; DOS at the Fermi energy = 5.50 states/eV/cell; space-group type = Immm, No. 71; density = 6.5 g/cm3; energy relative to the elements = -0.50 eV per atom
1.0
5.1620 -0.0040 -1.4467
-3.8689 7.4894 -3.8957
-0.2002 -1.1002 9.2188
Y In Pr
5 6 1
direct
0.0000 0.6680 0.3320 Y
0.5000 0.1630 0.8370 Y
0.0000 0.3320 0.6680 Y
0.5000 0.8370 0.1630 Y
0.5000 0.5000 0.5000 Y
0.7610 0.2610 0.2610 In
0.2554 0.4251 0.0856 In
0.7446 0.9144 0.5749 In
0.7446 0.5749 0.9144 In
0.2390 0.7390 0.7390 In
0.2554 0.0856 0.4251 In
0.0000 0.0000 0.0000 Pr

***

Pr6Y3In | Alexandria via LeMat-Bulk | GGA-PBE | optimized geometry; DOS at the Fermi energy = 28.33 states/eV/cell; space-group type = P2_1/m, No. 11; density = 5.9 g/cm3; energy relative to the elements = 0.00 eV per atom
1.0
3.6457 0.0000 0.0000
0.0000 12.4893 -1.5486
0.0000 0.7939 15.0077
In Y Pr
2 6 12
direct
0.2500 0.3053 0.9415 In
0.7500 0.6947 0.0585 In
0.7500 0.9468 0.1976 Y
0.2500 0.0532 0.8024 Y
0.7500 0.5726 0.6837 Y
0.7500 0.8990 0.4193 Y
0.2500 0.1010 0.5807 Y
0.2500 0.4274 0.3163 Y
0.2500 0.8894 0.9968 Pr
0.2500 0.3810 0.5440 Pr
0.2500 0.2068 0.1844 Pr
0.7500 0.6190 0.4560 Pr
0.7500 0.1106 0.0032 Pr
0.7500 0.7932 0.8156 Pr
0.7500 0.4399 0.1043 Pr
0.2500 0.5601 0.8957 Pr
0.7500 0.1884 0.3908 Pr
0.7500 0.3001 0.7502 Pr
0.2500 0.8116 0.6092 Pr
0.2500 0.6999 0.2498 Pr

***

PrY5In3 | Alexandria via LeMat-Bulk | GGA-PBE | optimized geometry; DOS at the Fermi energy = 20.99 states/eV/cell; space-group type = P6_3/mcm, No. 193; density = 5.9 g/cm3; energy relative to the elements = -0.38 eV per atom
1.0
-3.2355 1.7569 -5.6894
6.2495 -4.9103 -5.0703
-7.8332 -4.1850 3.1622
Y In Pr
10 6 2
direct
0.7500 0.0000 0.3291 Y
0.2500 0.3291 0.3291 Y
0.0000 0.3333 0.6666 Y
0.7500 0.6709 0.6709 Y
0.2500 0.6709 0.0000 Y
0.7500 0.3291 0.0000 Y
0.5000 0.3333 0.6666 Y
0.2500 0.0000 0.6709 Y
0.0000 0.6667 0.3334 Y
0.5000 0.6667 0.3334 Y
0.2500 0.0000 0.3418 In
0.2500 0.3418 0.0000 In
0.7500 0.3418 0.3418 In
0.2500 0.6582 0.6582 In
0.7500 0.6582 0.0000 In
0.7500 0.0000 0.6582 In
0.5000 0.0000 0.0000 Pr
0.0000 0.0000 0.0000 Pr

***

PrY6In | Alexandria via LeMat-Bulk | GGA-PBE | optimized geometry; DOS at the Fermi energy = 10.25 states/eV/cell; energy relative to the lowest polymorph listed for this composition = 0 meV/atom; space-group type = P4/mmm, No. 123; density = 5.3 g/cm3; energy relative to the elements = -0.11 eV per atom
1.0
4.9429 0.0000 0.0000
0.0000 4.9429 0.0000
0.0000 0.0000 10.1661
Y Pr In
6 1 1
direct
0.5000 0.0000 0.2403 Y
0.0000 0.5000 0.7597 Y
0.5000 0.0000 0.7597 Y
0.5000 0.5000 0.5000 Y
0.0000 0.5000 0.2403 Y
0.5000 0.5000 0.0000 Y
0.0000 0.0000 0.5000 Pr
0.0000 0.0000 0.0000 In

***

Pr4YIn2 | Alexandria via LeMat-Bulk | GGA-PBE | optimized geometry; DOS at the Fermi energy = 7.14 states/eV/cell; energy relative to the lowest polymorph listed for this composition = 0 meV/atom; space-group type = Cm, No. 8; density = 6.5 g/cm3; energy relative to the elements = -0.26 eV per atom
1.0
5.2058 0.0817 -1.4132
-1.0108 6.0865 -3.3708
-0.3221 -2.9848 8.9381
In Pr Y
2 4 1
direct
0.3849 0.2720 0.7698 In
0.6236 0.5905 0.2475 In
0.7951 0.3591 0.5901 Pr
0.1014 0.8038 0.2027 Pr
0.4945 0.9236 0.9888 Pr
0.2061 0.5040 0.4122 Pr
0.8944 0.0471 0.7888 Y

***

Pr7YIn2 | Alexandria via LeMat-Bulk | GGA-PBE | optimized geometry; DOS at the Fermi energy = 19.81 states/eV/cell; space-group type = Cmmm, No. 65; density = 5.2 g/cm3; energy relative to the elements = 0.30 eV per atom
1.0
-3.3983 2.8173 3.2220
-6.3322 -6.8781 -0.6645
6.3595 -0.1998 6.8822
Pr In Y
7 2 1
direct
0.0000 0.2241 0.7759 Pr
0.5000 0.6974 0.9394 Pr
0.5000 0.3026 0.0606 Pr
0.5000 0.0606 0.3026 Pr
0.0000 0.7759 0.2241 Pr
0.5000 0.9394 0.6974 Pr
0.5000 0.5000 0.5000 Pr
0.5000 0.6948 0.3051 In
0.5000 0.3051 0.6948 In
0.0000 0.0000 0.0000 Y

***

Pr12YIn6 | Alexandria via LeMat-Bulk | GGA-PBE | optimized geometry; DOS at the Fermi energy = 20.41 states/eV/cell; space-group type = R-3, No. 148; density = 6.8 g/cm3; energy relative to the elements = -0.24 eV per atom
1.0
8.3791 0.6729 0.8062
-0.6051 8.3843 0.8062
-0.6051 -0.7050 8.3934
Y In Pr
1 6 12
direct
0.0000 0.0000 0.0000 Y
0.1205 0.7447 0.2693 In
0.8795 0.2553 0.7307 In
0.2693 0.1205 0.7447 In
0.7447 0.2693 0.1205 In
0.7307 0.8795 0.2553 In
0.2553 0.7307 0.8795 In
0.8734 0.6158 0.9285 Pr
0.5257 0.4344 0.8095 Pr
0.6158 0.9285 0.8734 Pr
0.5656 0.1905 0.4743 Pr
0.8095 0.5257 0.4344 Pr
0.4344 0.8095 0.5257 Pr
0.4743 0.5656 0.1905 Pr
0.0715 0.1266 0.3842 Pr
0.3842 0.0715 0.1266 Pr
0.1905 0.4743 0.5656 Pr
0.1266 0.3842 0.0715 Pr
0.9285 0.8734 0.6158 Pr

***

Pr4Y7In | Alexandria via LeMat-Bulk | GGA-PBE | optimized geometry; DOS at the Fermi energy = 19.20 states/eV/cell; space-group type = C2/m, No. 12; density = 5.2 g/cm3; energy relative to the elements = 0.15 eV per atom
1.0
-1.8917 4.8772 2.6808
-11.2953 -2.4027 2.8452
0.4079 -0.0338 6.7936
Y Pr In
7 4 1
direct
0.3660 0.4833 0.7847 Y
0.1013 0.7278 0.0696 Y
0.1998 0.0786 0.5218 Y
0.5000 0.0000 0.0000 Y
0.6340 0.5167 0.2153 Y
0.8002 0.9214 0.4782 Y
0.8987 0.2722 0.9304 Y
0.3819 0.7679 0.4682 Pr
0.6181 0.2321 0.5318 Pr
0.1646 0.3667 0.3041 Pr
0.8354 0.6333 0.6959 Pr
0.0000 0.0000 0.0000 In

***

Pr9YIn2 | Alexandria via LeMat-Bulk | GGA-PBE | optimized geometry; DOS at the Fermi energy = 15.34 states/eV/cell; space-group type = P4/mmm, No. 123; density = 6.7 g/cm3; energy relative to the elements = -0.17 eV per atom
1.0
5.0522 0.0000 0.0000
0.0000 5.0522 0.0000
0.0000 0.0000 15.4789
Pr Y In
9 1 2
direct
0.0000 0.5000 0.5000 Pr
0.0000 0.5000 0.1737 Pr
0.0000 0.5000 0.8263 Pr
0.5000 0.0000 0.5000 Pr
0.5000 0.5000 0.6625 Pr
0.5000 0.0000 0.8263 Pr
0.5000 0.0000 0.1737 Pr
0.5000 0.5000 0.0000 Pr
0.5000 0.5000 0.3375 Pr
0.0000 0.0000 0.0000 Y
0.0000 0.0000 0.3387 In
0.0000 0.0000 0.6613 In

***

Pr2YIn | Alexandria via LeMat-Bulk | GGA-PBE | optimized geometry; DOS at the Fermi energy = 5.79 states/eV/cell; energy relative to the lowest polymorph listed for this composition = 0 meV/atom; space-group type = P4/mmm, No. 123; density = 6.5 g/cm3; energy relative to the elements = -0.28 eV per atom
1.0
-3.4916 -3.1637 -1.8870
-1.0424 -1.5660 4.5544
-3.4211 3.5207 0.4276
Pr Y In
2 1 1
direct
0.0000 0.5000 0.0000 Pr
0.0000 0.0000 0.5000 Pr
0.5000 0.0000 0.0000 Y
0.5000 0.5000 0.5000 In

***

Pr3Y4In | Alexandria via LeMat-Bulk | GGA-PBE | optimized geometry; DOS at the Fermi energy = 18.11 states/eV/cell; energy relative to the lowest polymorph listed for this composition = 0 meV/atom; space-group type = Pmn2_1, No. 31; density = 5.7 g/cm3; energy relative to the elements = -0.12 eV per atom
1.0
6.2943 0.0000 0.0000
0.0000 7.1803 0.0000
0.0000 0.0000 11.4158
Pr Y In
6 8 2
direct
0.9711 0.6136 0.2383 Pr
0.4711 0.3864 0.7383 Pr
0.9711 0.6136 0.7617 Pr
0.6263 0.6266 0.0000 Pr
0.1263 0.3734 0.5000 Pr
0.4711 0.3864 0.2617 Pr
0.1656 0.8767 0.0000 Y
0.6460 0.1293 0.0000 Y
0.9917 0.1234 0.7608 Y
0.4917 0.8766 0.2608 Y
0.6656 0.1233 0.5000 Y
0.9917 0.1234 0.2392 Y
0.1460 0.8707 0.5000 Y
0.4917 0.8766 0.7392 Y
0.1519 0.3575 0.0000 In
0.6519 0.6425 0.5000 In

***

Pr12Y5In2 | Alexandria via LeMat-Bulk | GGA-PBE | optimized geometry; DOS at the Fermi energy = 28.19 states/eV/cell; space-group type = C2/m, No. 12; density = 6.1 g/cm3; energy relative to the elements = -0.02 eV per atom
1.0
9.3803 0.0000 0.0000
-4.6902 7.7772 1.0527
0.0000 -1.7597 8.6207
Pr In Y
12 2 5
direct
0.0380 0.7045 0.7652 Pr
0.5706 0.7498 0.3331 Pr
0.8208 0.2502 0.6669 Pr
0.4433 0.8866 0.6740 Pr
0.3335 0.2955 0.2348 Pr
0.4294 0.2502 0.6669 Pr
0.9182 0.8365 0.1132 Pr
0.9620 0.2955 0.2348 Pr
0.1792 0.7498 0.3331 Pr
0.6665 0.7045 0.7652 Pr
0.0818 0.1635 0.8868 Pr
0.5567 0.1134 0.3260 Pr
0.3278 0.0000 0.0000 In
0.6722 0.0000 0.0000 In
0.3118 0.6235 0.9865 Y
0.7677 0.5355 0.4188 Y
0.0000 0.0000 0.5000 Y
0.2323 0.4645 0.5812 Y
0.6882 0.3765 0.0135 Y

***

PrYIn2 | Alexandria via LeMat-Bulk | GGA-PBE | optimized geometry; DOS at the Fermi energy = 1.89 states/eV/cell; space-group type = Fm-3m, No. 225; density = 6.8 g/cm3; energy relative to the elements = -0.49 eV per atom
1.0
5.4231 0.0000 0.0000
2.7116 4.6964 0.0000
2.7116 1.5654 4.4278
Y In Pr
1 2 1
direct
0.7500 0.7500 0.7500 Y
0.5000 0.5000 0.5000 In
0.0000 0.0000 0.0000 In
0.2500 0.2500 0.2500 Pr

***

Pr3Y2In | Alexandria via LeMat-Bulk | GGA-PBE | optimized geometry; DOS at the Fermi energy = 15.77 states/eV/cell; energy relative to the lowest polymorph listed for this composition = 92 meV/atom; space-group type = C2/m, No. 12; density = 6.0 g/cm3; energy relative to the elements = -0.06 eV per atom
1.0
-4.0601 4.1989 2.2177
-5.1327 -1.9160 3.0313
4.4338 1.7349 10.7796
Pr In Y
6 2 4
direct
0.9201 0.6594 0.2439 Pr
0.2590 0.0000 0.2445 Pr
0.7410 0.0000 0.7555 Pr
0.4206 0.6594 0.7561 Pr
0.0799 0.3406 0.7561 Pr
0.5794 0.3406 0.2439 Pr
0.6658 0.6683 0.0000 In
0.3342 0.3317 0.0000 In
0.1646 0.6708 0.5000 Y
0.8354 0.3292 0.5000 Y
0.0000 0.0000 0.0000 Y
0.5000 0.0000 0.5000 Y

***

PrY6In | Alexandria via LeMat-Bulk | GGA-PBE | optimized geometry; DOS at the Fermi energy = 11.22 states/eV/cell; energy relative to the lowest polymorph listed for this composition = 90 meV/atom; space-group type = R-3, No. 148; density = 5.1 g/cm3; energy relative to the elements = -0.02 eV per atom
1.0
9.3190 0.0067 0.0654
4.6550 7.2913 -0.2181
4.6281 2.2923 3.7054
Y Pr In
6 1 1
direct
0.9637 0.5426 0.2539 Y
0.7602 0.9639 0.7332 Y
0.4569 0.7604 0.8183 Y
0.2398 0.0361 0.2668 Y
0.5431 0.2396 0.1817 Y
0.0363 0.4574 0.7461 Y
0.5000 0.5000 0.5000 Pr
0.0000 0.0000 0.0000 In

***

PrYIn2 | Alexandria via LeMat-Bulk | GGA-PBE | optimized geometry; DOS at the Fermi energy = 2.14 states/eV/cell; space-group type = P4/mmm, No. 123; density = 6.8 g/cm3; energy relative to the elements = -0.50 eV per atom
1.0
3.8290 0.0000 0.0000
0.0000 3.8290 0.0000
0.0000 0.0000 7.6841
In Pr Y
2 1 1
direct
0.0000 0.0000 0.7643 In
0.0000 0.0000 0.2357 In
0.5000 0.5000 0.5000 Pr
0.5000 0.5000 0.0000 Y

***

Pr2Y3In3 | Alexandria via LeMat-Bulk | GGA-PBE | optimized geometry; DOS at the Fermi energy = 7.69 states/eV/cell; space-group type = Immm, No. 71; density = 6.4 g/cm3; energy relative to the elements = -0.37 eV per atom
1.0
4.5363 0.0000 0.0000
0.0000 4.9331 0.0000
-2.2681 -2.4666 10.3208
Pr In Y
2 3 3
direct
0.2611 0.7611 0.5223 Pr
0.7389 0.2389 0.4777 Pr
0.1207 0.1207 0.2414 In
0.8793 0.8793 0.7586 In
0.0000 0.5000 0.0000 In
0.3838 0.3838 0.7676 Y
0.5000 0.0000 0.0000 Y
0.6162 0.6162 0.2324 Y

***

Pr3Y2In | Alexandria via LeMat-Bulk | GGA-PBE | optimized geometry; DOS at the Fermi energy = 8.13 states/eV/cell; energy relative to the lowest polymorph listed for this composition = 0 meV/atom; space-group type = Cmmm, No. 65; density = 6.2 g/cm3; energy relative to the elements = -0.16 eV per atom
1.0
5.0098 0.0000 0.0000
0.0000 4.7565 -1.6082
0.0000 0.0806 8.0764
Y In Pr
2 1 3
direct
0.0000 0.6611 0.3222 Y
0.0000 0.3389 0.6778 Y
0.0000 0.0000 0.0000 In
0.5000 0.5000 0.0000 Pr
0.5000 0.8311 0.6621 Pr
0.5000 0.1689 0.3379 Pr

***

Pr5Y8In | Alexandria via LeMat-Bulk | GGA-PBE | optimized geometry; DOS at the Fermi energy = 24.37 states/eV/cell; space-group type = I-4, No. 82; density = 5.3 g/cm3; energy relative to the elements = 0.11 eV per atom
1.0
7.8013 0.0000 -3.7536
-3.3857 7.5912 -2.4211
-1.0300 0.0000 8.5958
Y In Pr
8 1 5
direct
0.7605 0.3403 0.4208 Y
0.5792 0.3397 0.9195 Y
0.4575 0.4949 0.5382 Y
0.5798 0.6603 0.2395 Y
0.4618 0.9194 0.9568 Y
0.0805 0.6597 0.4202 Y
0.0374 0.0806 0.5424 Y
0.0432 0.5051 0.9626 Y
0.2500 0.5000 0.7500 In
0.8813 0.8018 0.0827 Pr
0.2810 0.1982 0.0795 Pr
0.5000 0.0000 0.5000 Pr
0.9173 0.7986 0.7190 Pr
0.9205 0.2014 0.1187 Pr